No. 1
Computed, not measured: crystalline Ce3OsBr2 at its relaxed geometry at the PBE level of DFT.

Cell lengths 7.742, 7.742, 7.742 Å; angles 150.13, 134.12, 55.71 degrees
Atoms (fractional coordinates):
Ce (0.000, 0.000, 0.000)
Ce (0.367, 0.367, 0.000)
Ce (0.633, 0.633, 0.000)
Os (0.500, 0.000, 0.500)
Br (0.178, 0.678, 0.500)
Br (0.822, 0.322, 0.500)

Values from the calculation:
**Size of the total moment**: 2.8 μB per cell
**Uncorrected formation energy**: -0.88 eV/atom
**ρ**: 7.759 Mg/m³
**Total DFT energy (no corrections)**: -6.271 eV per atom

***

No. 2
Computed, not measured: crystalline Ce4Os2Br3 at its relaxed geometry at the PBE level of DFT.

Cell lengths 4.062, 4.062, 18.312 Å; angles 90.03, 90.03, 60.00 degrees
Atoms (fractional coordinates):
Ce (0.001, 0.001, 0.295)
Ce (0.334, 0.334, 0.128)
Ce (0.666, 0.666, 0.872)
Ce (0.999, 0.999, 0.705)
Os (0.333, 0.333, 0.793)
Os (0.667, 0.667, 0.207)
Br (0.000, 0.000, 0.000)
Br (0.334, 0.334, 0.402)
Br (0.666, 0.666, 0.598)

Values from the calculation:
**Size of the total moment**: 1.8 μB per cell
**Uncorrected formation energy**: -0.91 eV/atom
**ρ**: 7.493 Mg/m³
**Total DFT energy (no corrections)**: -6.600 eV per atom

***

No. 3
Computed, not measured: crystalline Ce3OsBr3 at its relaxed geometry at the PBE level of DFT.

Cell lengths 8.868, 4.144, 11.963 Å; angles 90.00, 93.21, 90.00 degrees
Atoms (fractional coordinates):
Ce (0.099, 0.250, 0.387)
Ce (0.123, 0.250, 0.849)
Ce (0.327, 0.750, 0.625)
Ce (0.673, 0.250, 0.375)
Ce (0.877, 0.750, 0.151)
Ce (0.901, 0.750, 0.613)
Os (0.118, 0.250, 0.624)
Os (0.882, 0.750, 0.376)
Br (0.128, 0.250, 0.118)
Br (0.370, 0.750, 0.879)
Br (0.389, 0.750, 0.370)
Br (0.611, 0.250, 0.630)
Br (0.630, 0.250, 0.121)
Br (0.872, 0.750, 0.882)

Values from the calculation:
**Size of the total moment**: 6.1 μB per cell
**Uncorrected formation energy**: -1.16 eV/atom
**ρ**: 6.434 Mg/m³
**Total DFT energy (no corrections)**: -6.026 eV per atom

***

No. 4
Computed, not measured: crystalline Ce2OsBr2 at its relaxed geometry at the PBE level of DFT.

Cell lengths 4.060, 4.060, 11.408 Å; angles 101.25, 101.25, 60.00 degrees
Atoms (fractional coordinates):
Ce (0.218, 0.218, 0.141)
Ce (0.782, 0.782, 0.859)
Os (0.500, 0.500, 0.000)
Br (0.050, 0.050, 0.682)
Br (0.950, 0.950, 0.318)

Values from the calculation:
**Size of the total moment**: 1.0 μB per cell
**Uncorrected formation energy**: -1.03 eV/atom
**ρ**: 6.596 Mg/m³
**Total DFT energy (no corrections)**: -6.318 eV per atom

***

No. 5
Computed, not measured: crystalline Ce2OsBr at its relaxed geometry at the PBE level of DFT.

Cell lengths 3.366, 3.366, 8.272 Å; angles 90.00, 90.00, 90.00 degrees
Atoms (fractional coordinates):
Ce (0.000, 0.000, 0.217)
Ce (0.000, 0.000, 0.783)
Os (0.500, 0.500, 0.000)
Br (0.500, 0.500, 0.500)

Values from the calculation:
**Energy relative to the lowest polymorph listed for this composition**: 0.088 eV/atom
**Size of the total moment**: 1.7 μB per cell
**Uncorrected formation energy**: -0.66 eV/atom
**ρ**: 9.751 Mg/m³
**Total DFT energy (no corrections)**: -6.857 eV per atom

***

No. 6
Computed, not measured: crystalline Ce4Os2Br5 at its relaxed geometry at the PBE level of DFT.

Cell lengths 12.726, 12.726, 7.587 Å; angles 90.36, 90.36, 18.80 degrees
Atoms (fractional coordinates):
Ce (0.000, 0.000, 0.175)
Ce (0.000, 0.000, 0.825)
Ce (0.346, 0.346, 0.001)
Ce (0.654, 0.654, 0.999)
Os (0.253, 0.253, 0.081)
Os (0.747, 0.747, 0.919)
Br (0.116, 0.116, 0.265)
Br (0.116, 0.116, 0.739)
Br (0.500, 0.500, 0.500)
Br (0.884, 0.884, 0.261)
Br (0.884, 0.884, 0.735)

Values from the calculation:
**Size of the total moment**: 2.8 μB per cell
**Uncorrected formation energy**: -0.69 eV/atom
**ρ**: 5.622 Mg/m³
**Total DFT energy (no corrections)**: -5.646 eV per atom

***

No. 7
Computed, not measured: crystalline Ce2OsBr at its relaxed geometry at the PBE level of DFT.

Cell lengths 7.993, 7.993, 7.993 Å; angles 29.50, 29.50, 29.50 degrees
Atoms (fractional coordinates):
Ce (0.232, 0.232, 0.232)
Ce (0.768, 0.768, 0.768)
Os (0.500, 0.500, 0.500)
Br (0.000, 0.000, 0.000)

Values from the calculation:
**Energy relative to the lowest polymorph listed for this composition**: 0.000 eV/atom
**Size of the total moment**: 1.2 μB per cell
**Uncorrected formation energy**: -0.75 eV/atom
**ρ**: 8.339 Mg/m³
**Total DFT energy (no corrections)**: -6.945 eV per atom

***

No. 8
Computed, not measured: crystalline Ce8Os3PdBr4 at its relaxed geometry at the PBE level of DFT.

Cell lengths 9.002, 9.002, 9.002 Å; angles 54.07, 54.07, 54.07 degrees
Atoms (fractional coordinates):
Ce (0.220, 0.739, 0.739)
Ce (0.232, 0.232, 0.232)
Ce (0.261, 0.261, 0.780)
Ce (0.261, 0.780, 0.261)
Ce (0.739, 0.220, 0.739)
Ce (0.739, 0.739, 0.220)
Ce (0.768, 0.768, 0.768)
Ce (0.780, 0.261, 0.261)
Os (0.000, 0.000, 0.500)
Os (0.000, 0.500, 0.000)
Os (0.500, 0.000, 0.000)
Pd (0.500, 0.500, 0.500)
Br (0.000, 0.000, 0.000)
Br (0.000, 0.500, 0.500)
Br (0.500, 0.000, 0.500)
Br (0.500, 0.500, 0.000)

Values from the calculation:
**Size of the total moment**: 6.2 μB per cell
**Uncorrected formation energy**: -0.80 eV/atom
**ρ**: 7.914 Mg/m³
**Total DFT energy (no corrections)**: -6.611 eV per atom

***

No. 9
Computed, not measured: crystalline CePmOsBr at its relaxed geometry at the PBE level of DFT.

Cell lengths 8.176, 8.176, 8.176 Å; angles 28.71, 28.71, 28.71 degrees
Atoms (fractional coordinates):
Ce (0.000, 0.000, 0.000)
Pm (0.796, 0.796, 0.796)
Os (0.391, 0.391, 0.391)
Br (0.565, 0.565, 0.565)

Values from the calculation:
**Size of the total moment**: 0.2 μB per cell
**Uncorrected formation energy**: -0.73 eV/atom
**ρ**: 8.267 Mg/m³
**Total DFT energy (no corrections)**: -6.623 eV per atom

***

No. 10
Computed, not measured: crystalline CePrOsBr at its relaxed geometry at the PBE level of DFT.

Cell lengths 8.238, 8.238, 8.238 Å; angles 28.63, 28.63, 28.63 degrees
Atoms (fractional coordinates):
Ce (0.000, 0.000, 0.000)
Pr (0.796, 0.796, 0.796)
Os (0.389, 0.389, 0.389)
Br (0.566, 0.566, 0.566)

Values from the calculation:
**Size of the total moment**: 0.2 μB per cell
**Uncorrected formation energy**: -0.72 eV/atom
**ρ**: 8.063 Mg/m³
**Total DFT energy (no corrections)**: -6.624 eV per atom

***

No. 11
Computed, not measured: crystalline Ce4OsPtBr2 at its relaxed geometry at the PBE level of DFT.

Cell lengths 7.163, 4.123, 7.987 Å; angles 90.00, 107.36, 90.00 degrees
Atoms (fractional coordinates):
Ce (0.223, 0.000, 0.199)
Ce (0.256, 0.500, 0.800)
Ce (0.744, 0.500, 0.200)
Ce (0.777, 0.000, 0.801)
Os (0.000, 0.500, 0.000)
Pt (0.500, 0.000, 0.000)
Br (0.000, 0.000, 0.500)
Br (0.500, 0.500, 0.500)

Values from the calculation:
**Size of the total moment**: 3.6 μB per cell
**Uncorrected formation energy**: -0.96 eV/atom
**ρ**: 8.154 Mg/m³
**Total DFT energy (no corrections)**: -6.500 eV per atom

***

No. 12
Computed, not measured: crystalline Ce8Os3RhBr4 at its relaxed geometry at the PBE level of DFT.

Cell lengths 8.994, 8.994, 8.994 Å; angles 53.80, 53.80, 53.80 degrees
Atoms (fractional coordinates):
Ce (0.228, 0.734, 0.734)
Ce (0.232, 0.232, 0.232)
Ce (0.266, 0.266, 0.772)
Ce (0.266, 0.772, 0.266)
Ce (0.734, 0.228, 0.734)
Ce (0.734, 0.734, 0.228)
Ce (0.768, 0.768, 0.768)
Ce (0.772, 0.266, 0.266)
Os (0.000, 0.000, 0.500)
Os (0.000, 0.500, 0.000)
Os (0.500, 0.000, 0.000)
Rh (0.500, 0.500, 0.500)
Br (0.000, 0.000, 0.000)
Br (0.000, 0.500, 0.500)
Br (0.500, 0.000, 0.500)
Br (0.500, 0.500, 0.000)

Values from the calculation:
**Size of the total moment**: 5.6 μB per cell
**Uncorrected formation energy**: -0.82 eV/atom
**ρ**: 7.978 Mg/m³
**Total DFT energy (no corrections)**: -6.770 eV per atom

***

No. 13
Computed, not measured: crystalline Ce6Os2RuBr3 at its relaxed geometry at the PBE level of DFT.

Cell lengths 7.025, 7.025, 8.008 Å; angles 98.41, 98.41, 120.00 degrees
Atoms (fractional coordinates):
Ce (0.102, 0.435, 0.805)
Ce (0.232, 0.232, 0.195)
Ce (0.435, 0.102, 0.805)
Ce (0.565, 0.898, 0.195)
Ce (0.768, 0.768, 0.805)
Ce (0.898, 0.565, 0.195)
Os (0.167, 0.833, 0.000)
Os (0.833, 0.167, 0.000)
Ru (0.500, 0.500, 0.000)
Br (0.000, 0.000, 0.500)
Br (0.333, 0.667, 0.500)
Br (0.667, 0.333, 0.500)

Values from the calculation:
**Size of the total moment**: 3.6 μB per cell
**Uncorrected formation energy**: -0.77 eV/atom
**ρ**: 7.924 Mg/m³
**Total DFT energy (no corrections)**: -6.802 eV per atom

***

No. 14
Computed, not measured: crystalline Ce8OsRu3Br4 at its relaxed geometry at the PBE level of DFT.

Cell lengths 8.993, 8.993, 8.993 Å; angles 53.35, 53.35, 53.35 degrees
Atoms (fractional coordinates):
Ce (0.232, 0.232, 0.232)
Ce (0.232, 0.732, 0.732)
Ce (0.268, 0.268, 0.768)
Ce (0.268, 0.768, 0.268)
Ce (0.732, 0.232, 0.732)
Ce (0.732, 0.732, 0.232)
Ce (0.768, 0.268, 0.268)
Ce (0.768, 0.768, 0.768)
Os (0.500, 0.500, 0.500)
Ru (0.000, 0.000, 0.500)
Ru (0.000, 0.500, 0.000)
Ru (0.500, 0.000, 0.000)
Br (0.000, 0.000, 0.000)
Br (0.000, 0.500, 0.500)
Br (0.500, 0.000, 0.500)
Br (0.500, 0.500, 0.000)

Values from the calculation:
**Size of the total moment**: 5.1 μB per cell
**Uncorrected formation energy**: -0.80 eV/atom
**ρ**: 7.394 Mg/m³
**Total DFT energy (no corrections)**: -6.624 eV per atom

***

No. 15
Computed, not measured: crystalline Ce6OsRu2Br3 at its relaxed geometry at the PBE level of DFT.

Cell lengths 7.002, 7.002, 8.024 Å; angles 98.36, 98.36, 120.00 degrees
Atoms (fractional coordinates):
Ce (0.101, 0.435, 0.804)
Ce (0.232, 0.232, 0.196)
Ce (0.435, 0.101, 0.804)
Ce (0.565, 0.899, 0.196)
Ce (0.768, 0.768, 0.804)
Ce (0.899, 0.565, 0.196)
Os (0.500, 0.500, 0.000)
Ru (0.167, 0.833, 0.000)
Ru (0.833, 0.167, 0.000)
Br (0.000, 0.000, 0.500)
Br (0.333, 0.667, 0.500)
Br (0.667, 0.333, 0.500)

Values from the calculation:
**Size of the total moment**: 3.7 μB per cell
**Uncorrected formation energy**: -0.79 eV/atom
**ρ**: 7.503 Mg/m³
**Total DFT energy (no corrections)**: -6.658 eV per atom

***

No. 16
Computed, not measured: crystalline Ce8Os3RuBr4 at its relaxed geometry at the PBE level of DFT.

Cell lengths 8.976, 8.976, 8.976 Å; angles 53.78, 53.78, 53.78 degrees
Atoms (fractional coordinates):
Ce (0.232, 0.232, 0.232)
Ce (0.232, 0.732, 0.732)
Ce (0.268, 0.268, 0.768)
Ce (0.268, 0.768, 0.268)
Ce (0.732, 0.232, 0.732)
Ce (0.732, 0.732, 0.232)
Ce (0.768, 0.268, 0.268)
Ce (0.768, 0.768, 0.768)
Os (0.000, 0.000, 0.500)
Os (0.000, 0.500, 0.000)
Os (0.500, 0.000, 0.000)
Ru (0.500, 0.500, 0.500)
Br (0.000, 0.000, 0.000)
Br (0.000, 0.500, 0.500)
Br (0.500, 0.000, 0.500)
Br (0.500, 0.500, 0.000)

Values from the calculation:
**Size of the total moment**: 4.9 μB per cell
**Uncorrected formation energy**: -0.77 eV/atom
**ρ**: 8.025 Mg/m³
**Total DFT energy (no corrections)**: -6.838 eV per atom

***

No. 17
Computed, not measured: crystalline Ce4OsRuBr2 at its relaxed geometry at the PBE level of DFT.

Cell lengths 7.013, 4.049, 8.018 Å; angles 90.00, 106.93, 90.00 degrees
Atoms (fractional coordinates):
Ce (0.232, 0.000, 0.195)
Ce (0.268, 0.500, 0.804)
Ce (0.732, 0.500, 0.196)
Ce (0.768, 0.000, 0.805)
Os (0.000, 0.500, 0.000)
Ru (0.500, 0.000, 0.000)
Br (0.000, 0.000, 0.500)
Br (0.500, 0.500, 0.500)

Values from the calculation:
**Size of the total moment**: 2.4 μB per cell
**Uncorrected formation energy**: -0.78 eV/atom
**ρ**: 7.713 Mg/m³
**Total DFT energy (no corrections)**: -6.730 eV per atom

***

No. 18
Computed, not measured: crystalline Ce4OsSBr2 at its relaxed geometry at the PBE level of DFT.

Cell lengths 7.209, 4.012, 7.630 Å; angles 90.00, 107.52, 90.00 degrees
Atoms (fractional coordinates):
Ce (0.227, 0.000, 0.204)
Ce (0.262, 0.500, 0.788)
Ce (0.738, 0.500, 0.212)
Ce (0.773, 0.000, 0.796)
Os (0.000, 0.500, 0.000)
S (0.500, 0.000, 0.000)
Br (0.000, 0.000, 0.500)
Br (0.500, 0.500, 0.500)

Values from the calculation:
**Size of the total moment**: 3.3 μB per cell
**Uncorrected formation energy**: -1.15 eV/atom
**ρ**: 7.437 Mg/m³
**Total DFT energy (no corrections)**: -6.457 eV per atom

***

No. 19
Computed, not measured: crystalline Ce6Os2SBr3 at its relaxed geometry at the PBE level of DFT.

Cell lengths 7.088, 7.088, 7.844 Å; angles 98.63, 98.63, 119.97 degrees
Atoms (fractional coordinates):
Ce (0.091, 0.433, 0.798)
Ce (0.226, 0.226, 0.201)
Ce (0.433, 0.091, 0.798)
Ce (0.567, 0.909, 0.202)
Ce (0.774, 0.774, 0.799)
Ce (0.909, 0.567, 0.202)
Os (0.167, 0.833, 0.000)
Os (0.833, 0.167, 0.000)
S (0.500, 0.500, 0.000)
Br (0.000, 0.000, 0.500)
Br (0.335, 0.665, 0.500)
Br (0.665, 0.335, 0.500)

Values from the calculation:
**Size of the total moment**: 5.2 μB per cell
**Uncorrected formation energy**: -1.02 eV/atom
**ρ**: 7.613 Mg/m³
**Total DFT energy (no corrections)**: -6.623 eV per atom

***

No. 20
Computed, not measured: crystalline Ce8Os3SBr4 at its relaxed geometry at the PBE level of DFT.

Cell lengths 8.884, 8.884, 8.884 Å; angles 54.78, 54.78, 54.78 degrees
Atoms (fractional coordinates):
Ce (0.228, 0.736, 0.736)
Ce (0.232, 0.232, 0.232)
Ce (0.264, 0.264, 0.772)
Ce (0.264, 0.772, 0.264)
Ce (0.736, 0.228, 0.736)
Ce (0.736, 0.736, 0.228)
Ce (0.768, 0.768, 0.768)
Ce (0.772, 0.264, 0.264)
Os (0.000, 0.000, 0.500)
Os (0.000, 0.500, 0.000)
Os (0.500, 0.000, 0.000)
S (0.500, 0.500, 0.500)
Br (0.000, 0.000, 0.000)
Br (0.000, 0.500, 0.500)
Br (0.500, 0.000, 0.500)
Br (0.500, 0.500, 0.000)

Values from the calculation:
**Size of the total moment**: 6.8 μB per cell
**Uncorrected formation energy**: -0.95 eV/atom
**ρ**: 7.792 Mg/m³
**Total DFT energy (no corrections)**: -6.695 eV per atom